Material: LaAs2PtRh5
Method: DFT, GGA-PBE
State: optimized geometry

Geometry as POSCAR:
```
LaAs2PtRh5
1.0
-3.073 2.264 1.235
0.875 -0.891 3.812
6.586 8.658 0.512
Pt Rh La As
1 5 1 2
Cartesian
0.000 0.000 0.000 Pt
4.012 8.426 1.049 Rh
2.194 5.016 2.780 Rh
1.475 0.919 1.987 Rh
5.986 6.848 2.338 Rh
-0.498 2.497 0.698 Rh
3.293 4.329 0.256 La
3.647 6.926 2.893 As
0.741 3.106 2.667 As
```

Results
theoretical density = 9.46 g/cm3
formation energy = -353 meV/atom
size of the total moment = 0.00 μB/cell

Material: La2PbW
Method: DFT, GGA-PBE
State: optimized geometry

Geometry as POSCAR:
```
La2PbW
1.0
10.101 -0.007 -0.004
9.477 3.498 -0.004
9.477 1.690 3.063
La W Pb
2 1 1
Cartesian
0.354 0.063 0.037 La
7.182 1.281 0.755 La
21.868 3.899 2.299 W
14.179 2.528 1.491 Pb
```

Results
theoretical density = 10.23 g/cm3
formation energy = 583 meV/atom
size of the total moment = 0.00 μB/cell